# 1
Below is crystalline TbNd4Er2Tm at its relaxed geometry, with properties calculated at the PBE level.

Properties
space group	P2/m

Cell: 3.6116 6.2401 11.8230 Å, 79.76 90.00 90.00°
Positions (direct):
1 Nd 0.5000 0.2507 0.7492
2 Nd 0.0000 0.2490 0.2512
3 Nd 0.5000 0.7493 0.2508
4 Nd 0.0000 0.7510 0.7488
5 Er 0.0000 0.0000 0.0000
6 Er 0.5000 0.0000 0.5000
7 Tm 0.0000 0.5000 0.5000
8 Tb 0.5000 0.5000 0.0000

---

# 2
Below is crystalline TbNdEr2Tm4 at its relaxed geometry, with properties calculated at the PBE level.

Properties
space group	Imma

Cell: 9.4376 9.4376 11.6692 Å, 128.19 128.19 88.88°
Positions (direct):
1 Er 0.5000 0.0000 0.5000
2 Er 0.5000 0.0000 0.0000
3 Er 0.5000 0.5000 0.0000
4 Er 0.0000 0.0000 0.5000
5 Tm 0.7477 0.7520 0.0013
6 Tm 0.2500 0.7529 0.5015
7 Tm 0.7500 0.2471 0.4985
8 Tm 0.2523 0.2480 0.9987
9 Tm 0.7480 0.7523 0.4987
10 Tm 0.2520 0.2477 0.5013
11 Tm 0.2529 0.7500 0.0015
12 Tm 0.7471 0.2500 0.9986
13 Tb 0.0000 0.0000 0.0000
14 Tb 0.5000 0.5000 0.5000
15 Nd 0.0000 0.5000 0.0000
16 Nd 0.0000 0.5000 0.5000

---

# 3
Below is crystalline TbNd4Er2Tm2 at its relaxed geometry, with properties calculated at the PBE level.

Properties
space group	C2/m

Cell: 5.0600 8.0245 8.0179 Å, 107.35 90.00 108.38°
Positions (direct):
1 Nd 0.4464 0.8927 0.6698
2 Nd 0.5536 0.1073 0.3302
3 Nd 0.2230 0.4460 0.3317
4 Nd 0.7770 0.5540 0.6683
5 Er 0.1115 0.2229 0.6696
6 Er 0.8885 0.7771 0.3304
7 Tb 0.0000 0.0000 0.0000
8 Tm 0.3322 0.6643 0.0002
9 Tm 0.6678 0.3357 0.9998

---

# 4
Below is crystalline TbNdEr5Tm2 at its relaxed geometry, with properties calculated at the PBE level.

Properties
space group	Cmc2_1

Cell: 5.5603 10.2309 10.4755 Å, 90.00 90.00 105.77°
Positions (direct):
1 Er 0.5221 0.0441 0.2360
2 Er 0.9825 0.9651 0.5254
3 Er 0.7012 0.4024 0.2099
4 Er 0.7191 0.4383 0.8121
5 Er 0.4779 0.9559 0.7360
6 Er 0.6112 0.2225 0.5232
7 Er 0.0175 0.0349 0.0254
8 Er 0.3888 0.7775 0.0232
9 Er 0.2988 0.5976 0.7099
10 Er 0.2809 0.5617 0.3121
11 Tb 0.1997 0.3994 0.0127
12 Tb 0.8003 0.6006 0.5127
13 Nd 0.4163 0.8326 0.4500
14 Nd 0.5837 0.1674 0.9500
15 Tm 0.8893 0.7786 0.2356
16 Tm 0.8869 0.7738 0.8191
17 Tm 0.1131 0.2262 0.3191
18 Tm 0.1107 0.2214 0.7356

---

# 5
Below is crystalline Tb2NdEr4Tm at its relaxed geometry, with properties calculated at the PBE level.

Properties
space group	Imma

Cell: 9.4574 9.4574 11.7045 Å, 128.23 128.23 88.77°
Positions (direct):
1 Er 0.7492 0.7507 0.9979
2 Er 0.7512 0.2466 0.9989
3 Er 0.2488 0.7534 0.0011
4 Er 0.7466 0.2512 0.4989
5 Er 0.2507 0.2493 0.0021
6 Er 0.2534 0.7488 0.5011
7 Er 0.2507 0.2493 0.4979
8 Er 0.7493 0.7508 0.5021
9 Tb 0.5000 0.0000 0.0000
10 Tb 0.0000 0.0000 0.5000
11 Tb 0.5000 0.5000 0.0000
12 Tb 0.5000 0.0000 0.5000
13 Tm 0.0000 0.0000 0.0000
14 Tm 0.5000 0.5000 0.5000
15 Nd 0.0000 0.5000 0.0000
16 Nd 0.0000 0.5000 0.5000

---

# 6
Below is crystalline Tb5NdErTm2 at its relaxed geometry, with properties calculated at the PBE level.

Properties
space group	Cmc2_1

Cell: 5.5982 10.3148 10.5126 Å, 90.00 90.00 105.75°
Positions (direct):
1 Nd 0.5851 0.1701 0.9516
2 Nd 0.4149 0.8299 0.4516
3 Er 0.1990 0.3980 0.0123
4 Er 0.8010 0.6020 0.5123
5 Tb 0.2984 0.5968 0.7088
6 Tb 0.9824 0.9648 0.5229
7 Tb 0.6132 0.2264 0.5231
8 Tb 0.4787 0.9574 0.7383
9 Tb 0.7016 0.4032 0.2088
10 Tb 0.5213 0.0426 0.2383
11 Tb 0.3868 0.7736 0.0231
12 Tb 0.7192 0.4384 0.8133
13 Tb 0.2808 0.5616 0.3133
14 Tb 0.0176 0.0352 0.0229
15 Tm 0.1141 0.2282 0.3181
16 Tm 0.8859 0.7718 0.8181
17 Tm 0.1116 0.2231 0.7355
18 Tm 0.8884 0.7769 0.2355

---

# 7
Below is crystalline Tb5Nd2ErTm at its relaxed geometry, with properties calculated at the PBE level.

Properties
space group	I4/mcm

Cell: 8.5535 8.5535 10.0424 Å, 115.21 115.21 90.00°
Positions (direct):
1 Tb 0.3575 0.8575 0.2843
2 Tb 0.6425 0.1425 0.7157
3 Tb 0.4268 0.3575 0.2843
4 Tb 0.5000 0.5000 0.0000
5 Tb 0.1425 0.0732 0.7157
6 Tb 0.0000 0.0000 0.0000
7 Tb 0.8575 0.9268 0.2843
8 Tb 0.9268 0.4268 0.2843
9 Tb 0.0732 0.5732 0.7157
10 Tb 0.5732 0.6425 0.7157
11 Nd 0.1192 0.3808 0.0000
12 Nd 0.3808 0.8808 0.0000
13 Nd 0.6192 0.1192 0.0000
14 Nd 0.8808 0.6192 0.0000
15 Tm 0.7500 0.2500 0.5000
16 Tm 0.2500 0.7500 0.5000
17 Er 0.7500 0.7500 0.5000
18 Er 0.2500 0.2500 0.5000

---

# 8
Below is crystalline Tb2NdEr6Tm3 at its relaxed geometry, with properties calculated at the PBE level.

Properties
space group	C2/m

Cell: 6.1028 6.1028 11.6714 Å, 94.99 94.99 119.94°
Positions (direct):
1 Er 0.0850 0.4189 0.2532
2 Er 0.2489 0.2489 0.7469
3 Er 0.7511 0.7511 0.2531
4 Er 0.9150 0.5811 0.7468
5 Er 0.5811 0.9150 0.7468
6 Er 0.4189 0.0850 0.2532
7 Tb 0.6667 0.3333 0.0000
8 Tb 0.3333 0.6667 0.0000
9 Tm 0.8331 0.1669 0.5000
10 Tm 0.1669 0.8331 0.5000
11 Tm 0.5000 0.5000 0.5000
12 Nd 0.0000 0.0000 0.0000

---

# 9
Below is crystalline Tb6Nd2ErTm at its relaxed geometry, with properties calculated at the PBE level.

Properties
space group	C2/c

Cell: 9.6974 8.7873 8.7873 Å, 118.15 94.54 94.54°
Positions (direct):
1 Tb 0.6881 0.0197 0.5757
2 Tb 0.6197 0.4984 0.7086
3 Tb 0.1197 0.7086 0.4984
4 Tb 0.3119 0.9803 0.4243
5 Tb 0.8803 0.2914 0.5016
6 Tb 0.5569 0.7470 0.1257
7 Tb 0.1881 0.5757 0.0197
8 Tb 0.9431 0.8743 0.2530
9 Tb 0.3803 0.5016 0.2914
10 Tb 0.4431 0.2530 0.8743
11 Tb 0.0569 0.1257 0.7470
12 Tb 0.8119 0.4243 0.9803
13 Nd 0.4578 0.8055 0.7020
14 Nd 0.0422 0.2980 0.1945
15 Nd 0.9578 0.7020 0.8055
16 Nd 0.5422 0.1945 0.2980
17 Tm 0.7500 0.5929 0.4071
18 Tm 0.2500 0.4071 0.5929
19 Er 0.7500 0.0183 0.9817
20 Er 0.2500 0.9817 0.0183

---

# 10
Below is crystalline TbNdEr3Tm at its relaxed geometry, with properties calculated at the PBE level.

Properties
space group	Cmcm

Cell: 5.0073 7.9173 10.0241 Å, 90.00 90.00 108.48°
Positions (direct):
1 Er 0.3323 0.6644 0.5000
2 Er 0.6677 0.3356 0.0000
3 Er 0.6677 0.3356 0.5000
4 Er 0.8314 0.6634 0.2500
5 Er 0.3323 0.6644 0.0000
6 Er 0.1686 0.3366 0.7500
7 Tb 0.0000 0.0000 0.0000
8 Tb 0.0000 0.0000 0.5000
9 Nd 0.5000 0.0001 0.2500
10 Nd 0.5000 0.9999 0.7500
11 Tm 0.1685 0.3365 0.2500
12 Tm 0.8315 0.6635 0.7500

---

# 11
Below is crystalline TbNdEr2Tm2 at its relaxed geometry, with properties calculated at the PBE level.

Properties
space group	Pnnm

Cell: 3.3752 6.5392 17.5852 Å, 90.00 90.00 90.00°
Positions (direct):
1 Nd 0.5000 0.5000 0.5000
2 Nd 0.0000 0.0000 0.0000
3 Er 0.0000 0.2762 0.1499
4 Er 0.5000 0.7762 0.3501
5 Er 0.5000 0.2238 0.6499
6 Er 0.0000 0.7238 0.8501
7 Tm 0.5000 0.7263 0.6837
8 Tm 0.0000 0.7737 0.1837
9 Tm 0.5000 0.2737 0.3163
10 Tm 0.0000 0.2263 0.8163
11 Tb 0.5000 0.5000 0.0000
12 Tb 0.0000 0.0000 0.5000

---

# 12
Below is crystalline Tb6Nd2ErTm3 at its relaxed geometry, with properties calculated at the PBE level.

Properties
space group	C2/m

Cell: 6.1600 6.1600 11.7885 Å, 94.98 94.98 119.97°
Positions (direct):
1 Tm 0.1663 0.8337 0.5000
2 Tm 0.5000 0.5000 0.5000
3 Tm 0.8337 0.1663 0.5000
4 Er 0.0000 0.0000 0.0000
5 Tb 0.4174 0.0850 0.2539
6 Tb 0.5826 0.9150 0.7461
7 Tb 0.9150 0.5826 0.7461
8 Tb 0.2473 0.2473 0.7458
9 Tb 0.7527 0.7527 0.2542
10 Tb 0.0850 0.4174 0.2539
11 Nd 0.3334 0.6666 0.0000
12 Nd 0.6666 0.3334 0.0000

---

# 13
Below is crystalline Tb2Nd4Er2Tm at its relaxed geometry, with properties calculated at the PBE level.

Properties
space group	C2/m

Cell: 5.0872 8.0527 8.0221 Å, 107.55 90.00 108.41°
Positions (direct):
1 Tb 0.8885 0.7770 0.3295
2 Tb 0.1115 0.2230 0.6705
3 Nd 0.7776 0.5551 0.6690
4 Nd 0.5542 0.1084 0.3306
5 Nd 0.2224 0.4449 0.3310
6 Nd 0.4458 0.8916 0.6694
7 Er 0.6669 0.3337 0.9996
8 Er 0.3331 0.6663 0.0004
9 Tm 0.0000 0.0000 0.0000

---

# 14
Below is crystalline TbNdErTm2 at its relaxed geometry, with properties calculated at the PBE level.

Properties
space group	Cmcm

Cell: 7.1688 8.3431 7.0659 Å, 126.18 90.00 90.00°
Positions (direct):
1 Tm 0.0000 0.6885 0.0000
2 Tm 0.0000 0.3115 0.0000
3 Tm 0.5000 0.6885 0.0000
4 Tm 0.5000 0.3115 0.0000
5 Er 0.7500 0.7205 0.4410
6 Er 0.2500 0.2795 0.5590
7 Nd 0.2500 0.7274 0.4547
8 Nd 0.7500 0.2726 0.5453
9 Tb 0.2500 0.9993 0.9985
10 Tb 0.7500 0.0007 0.0015

---

# 15
Below is crystalline TbNd4ErTm2 at its relaxed geometry, with properties calculated at the PBE level.

Properties
space group	P2/m

Cell: 3.6091 6.2366 11.8114 Å, 79.78 90.00 90.00°
Positions (direct):
1 Er 0.0000 0.5000 0.5000
2 Tm 0.0000 0.0000 0.0000
3 Tm 0.5000 0.0000 0.5000
4 Nd 0.5000 0.2492 0.7501
5 Nd 0.0000 0.2499 0.2515
6 Nd 0.5000 0.7508 0.2499
7 Nd 0.0000 0.7502 0.7485
8 Tb 0.5000 0.5000 0.0000

---

# 16
Below is crystalline TbNd2Er2Tm at its relaxed geometry, with properties calculated at the PBE level.

Properties
space group	Pmma

Cell: 5.6377 6.9942 9.7595 Å, 90.00 90.00 90.00°
Positions (direct):
1 Nd 0.5000 0.5078 0.9998
2 Nd 0.0000 0.7579 0.8205
3 Nd 0.0000 0.2579 0.1795
4 Nd 0.5000 0.0078 0.0002
5 Tm 0.0000 0.0074 0.4998
6 Tm 0.0000 0.5074 0.5002
7 Tb 0.5000 0.7573 0.3426
8 Tb 0.5000 0.2573 0.6574
9 Er 0.0000 0.2577 0.8367
10 Er 0.0000 0.7577 0.1633
11 Er 0.5000 0.7575 0.6684
12 Er 0.5000 0.2575 0.3316

---

# 17
Below is crystalline TbNd6Er3Tm2 at its relaxed geometry, with properties calculated at the PBE level.

Properties
space group	C2/m

Cell: 6.2462 6.2462 11.7806 Å, 95.06 95.06 120.00°
Positions (direct):
1 Nd 0.2500 0.2500 0.7500
2 Nd 0.4174 0.0835 0.2501
3 Nd 0.5826 0.9165 0.7499
4 Nd 0.9165 0.5826 0.7499
5 Nd 0.0835 0.4174 0.2501
6 Nd 0.7500 0.7500 0.2500
7 Tb 0.0000 0.0000 0.0000
8 Er 0.1668 0.8332 0.5000
9 Er 0.5000 0.5000 0.5000
10 Er 0.8332 0.1668 0.5000
11 Tm 0.6667 0.3333 0.0000
12 Tm 0.3333 0.6667 0.0000

---

| no. | total energy (eV/atom) |
| --- | --- |
| 1 | -4.65 |
| 2 | -4.10 |
| 3 | -4.62 |
| 4 | -4.41 |
| 5 | -4.15 |
| 6 | -4.44 |
| 7 | -4.36 |
| 8 | -4.55 |
| 9 | -4.52 |
| 10 | -4.57 |
| 11 | -4.29 |
| 12 | -4.59 |
| 13 | -4.64 |
| 14 | -4.20 |
| 15 | -4.63 |
| 16 | -4.56 |
| 17 | -4.64 |